Entry 1:
## La3CoPb (PBE-GGA)

Data for La3CoPb after structural relaxation.

- Crystal system: hexagonal
- E_form: -239.8 meV per atom
- N(E_F): 1.12 states/eV/atom
- Calculated volume: 28.6 Å³/atom
- Space-group type: No. 194

Lattice parameters (Å, degrees): 5.503 5.503 10.916 90.00 90.00 120.00
Sites, in units of the cell vectors:
La (0.000, 0.000, 0.250)
La (0.000, 0.000, 0.750)
La (0.333, 0.667, 0.055)
La (0.333, 0.667, 0.445)
La (0.667, 0.333, 0.555)
La (0.667, 0.333, 0.945)
Co (0.000, 0.000, 0.000)
Co (0.000, 0.000, 0.500)
Pb (0.333, 0.667, 0.750)
Pb (0.667, 0.333, 0.250)

---

Entry 2:
## Y3ZrF (PBE-GGA)

Data for Y3ZrF after structural relaxation.

- Crystal system: cubic
- ΔE_f (raw): 353.2 meV/atom
- N(E_F): 0.28 states/eV/atom
- Calculated volume: 35.0 Å³/atom
- Space-group type: No. 221

Lattice parameters (Å, degrees): 5.591 5.591 5.591 90.00 90.00 90.00
Sites, in units of the cell vectors:
Y (0.000, 0.000, 0.500)
Y (0.000, 0.500, 0.000)
Y (0.500, 0.000, 0.000)
Zr (0.000, 0.000, 0.000)
F (0.500, 0.500, 0.500)

---

Entry 3:
## PrTcS4 (PBE-GGA)

Data for PrTcS4 after structural relaxation.

- Crystal system: monoclinic
- ΔE_f (raw): -855.1 meV/atom
- N(E_F): 0.20 states/eV/atom
- Calculated volume: 21.6 Å³/atom
- Space-group type: No. 14

Lattice parameters (Å, degrees): 7.963 5.673 5.787 90.00 97.65 90.00
Sites, in units of the cell vectors:
Pr (0.000, 0.000, 0.000)
Pr (0.000, 0.500, 0.500)
Tc (0.500, 0.000, 0.500)
Tc (0.500, 0.500, 0.000)
S (0.178, 0.006, 0.471)
S (0.178, 0.494, 0.971)
S (0.493, 0.627, 0.628)
S (0.493, 0.873, 0.128)
S (0.507, 0.127, 0.872)
S (0.507, 0.373, 0.372)
S (0.822, 0.506, 0.029)
S (0.822, 0.994, 0.529)